# BeC

Crystalline BeC at its relaxed geometry (PBE, Alexandria).

Results
**Energy relative to the lowest polymorph listed for this composition**: 18.50 kcal/mol of atoms
**Crystal system**: trigonal
**Energy**: -5.354 eV per atom
**Calculated formation energy**: 1122 meV per atom
**Space-group type**: R-3m (166)

Cell: 3.091 3.091 3.091 Å, 45.14 45.14 45.14°
Sites, in units of the cell vectors:
Be: 0.000 0.000 0.000
C: 0.500 0.500 0.500

***

# Sc2PBr

Crystalline Sc2PBr at its relaxed geometry (PBE, Alexandria).

Results
**Formation energy without anion corrections**: -81.9 kJ/mol of atoms
**Crystal system**: tetragonal
**Energy**: -5.785 eV per atom
**Space-group type**: P4/mmm (123)

Cell: 4.759 4.759 3.344 Å, 90.00 90.00 90.00°
Sites, in units of the cell vectors:
Sc: 0.000 0.500 0.000
Sc: 0.500 0.000 0.000
P: 0.000 0.000 0.500
Br: 0.500 0.500 0.500

***

# La2Zr2V

Crystalline La2Zr2V at its relaxed geometry (PBE, Alexandria).

Results
**Crystal system**: tetragonal
**Energy**: -6.826 eV per atom
**Calculated formation energy**: 388 meV per atom
**Space-group type**: P4/mbm (127)

Cell: 7.050 7.050 5.454 Å, 90.00 90.00 90.00°
Sites, in units of the cell vectors:
La: 0.170 0.330 0.000
La: 0.330 0.830 0.000
La: 0.670 0.170 0.000
La: 0.830 0.670 0.000
Zr: 0.153 0.653 0.500
Zr: 0.347 0.153 0.500
Zr: 0.653 0.847 0.500
Zr: 0.847 0.347 0.500
V: 0.000 0.000 0.500
V: 0.500 0.500 0.500

***

# CoCuSe

Crystalline CoCuSe at its relaxed geometry (PBE, Alexandria).

Results
**Formation energy without anion corrections**: 21.0 kJ/mol of atoms
**Energy relative to the lowest polymorph listed for this composition**: 4.69 kcal/mol of atoms
**Crystal system**: hexagonal
**Energy**: -4.678 eV per atom
**Space-group type**: P-6m2 (187)

Cell: 3.899 3.899 3.293 Å, 90.00 90.00 120.00°
Sites, in units of the cell vectors:
Co: 0.000 0.000 0.000
Cu: 0.333 0.667 0.500
Se: 0.667 0.333 0.000